Entry from Alexandria via LeMat-Bulk: RbLiMn2I8 after structural relaxation (PBE).

abc: 7.382 7.382 10.338
angles: 90.00 90.00 120.00
Positions (direct):
Rb  0.000  0.000  0.000
Li  0.000  0.000  0.500
Mn  0.333  0.667  0.747
Mn  0.667  0.333  0.253
I  0.000  0.325  0.674
I  0.000  0.675  0.326
I  0.325  0.000  0.674
I  0.325  0.325  0.326
I  0.333  0.667  0.997
I  0.667  0.333  0.003
I  0.675  0.000  0.326
I  0.675  0.675  0.674

=====

Entry from Alexandria via LeMat-Bulk: RbLiMnI5 after structural relaxation (PBE).

abc: 8.706 8.706 10.581
angles: 105.47 105.47 107.87
Positions (direct):
Rb  0.176  0.824  0.750
Rb  0.824  0.176  0.250
Li  0.500  0.500  0.000
Li  0.500  0.500  0.500
Mn  0.170  0.830  0.250
Mn  0.830  0.170  0.750
I  0.118  0.222  0.945
I  0.192  0.625  0.391
I  0.222  0.118  0.445
I  0.375  0.808  0.109
I  0.442  0.558  0.750
I  0.558  0.442  0.250
I  0.625  0.192  0.891
I  0.778  0.882  0.555
I  0.808  0.375  0.609
I  0.882  0.778  0.055

=====

Entry from Alexandria via LeMat-Bulk: RbLi2MnI6 after structural relaxation (PBE).

abc: 10.363 10.363 9.218
angles: 109.46 109.46 80.26
Positions (direct):
Rb  0.153  0.847  0.750
Rb  0.847  0.153  0.250
Li  0.365  0.490  0.852
Li  0.490  0.365  0.352
Li  0.510  0.635  0.648
Li  0.635  0.510  0.148
Mn  0.182  0.818  0.250
Mn  0.818  0.182  0.750
I  0.030  0.214  0.678
I  0.129  0.626  0.974
I  0.214  0.030  0.178
I  0.299  0.460  0.524
I  0.374  0.871  0.526
I  0.460  0.299  0.024
I  0.540  0.701  0.976
I  0.626  0.129  0.474
I  0.701  0.540  0.476
I  0.786  0.970  0.822
I  0.871  0.374  0.026
I  0.970  0.786  0.322

=====

Entry from Alexandria via LeMat-Bulk: LiMn2ReI after structural relaxation (PBE).

Values from the calculation:
Polymorph energy (0 for the lowest one) ... 0.221 eV/atom

abc: 4.605 4.605 4.423
angles: 90.00 90.00 90.00
Positions (direct):
Li  0.000  0.000  0.000
Mn  0.000  0.500  0.500
Mn  0.500  0.000  0.500
Re  0.500  0.500  0.000
I  0.000  0.000  0.500

=====

Entry from Alexandria via LeMat-Bulk: LiMn2ReI after structural relaxation (PBE).

Values from the calculation:
Polymorph energy (0 for the lowest one) ... 0.000 eV/atom

abc: 4.077 4.077 4.392
angles: 90.00 90.00 90.00
Positions (direct):
Li  0.000  0.000  0.000
Mn  0.000  0.500  0.000
Mn  0.500  0.000  0.000
Re  0.000  0.000  0.500
I  0.500  0.500  0.500

=====

Entry from Alexandria via LeMat-Bulk: LiMnReI2 after structural relaxation (PBE).

abc: 5.474 5.474 4.559
angles: 90.00 90.00 90.00
Positions (direct):
Li  0.000  0.000  0.000
Mn  0.500  0.500  0.500
Re  0.500  0.500  0.000
I  0.000  0.500  0.500
I  0.500  0.000  0.500

=====

Entry from Alexandria via LeMat-Bulk: LiMnRhI2 after structural relaxation (PBE).

abc: 5.053 5.053 4.585
angles: 90.00 90.00 90.00
Positions (direct):
Li  0.000  0.000  0.000
Mn  0.000  0.000  0.500
Rh  0.500  0.500  0.500
I  0.000  0.500  0.000
I  0.500  0.000  0.000

=====

Entry from Alexandria via LeMat-Bulk: LiMnSbI2 after structural relaxation (PBE).

Values from the calculation:
Polymorph energy (0 for the lowest one) ... 0.000 eV/atom

abc: 5.864 5.864 5.099
angles: 90.00 90.00 90.00
Positions (direct):
Li  0.000  0.000  0.000
Mn  0.500  0.500  0.500
Sb  0.500  0.500  0.000
I  0.000  0.500  0.500
I  0.500  0.000  0.500

=====

So what do the calculations give for E_form (uncorrected)? Going down the list: -616 -792 -865 2069 1848 925 829 -30 meV per atom.